# 1
The following is a GGA-PBE calculation of an optimized crystal structure of Cu3IrCl8, from the Alexandria database.

The value obtained for the uncorrected energy is -3.46 eV per atom. The space group is C222, No. 21. The uncorrected formation energy comes out at -10.696 kcal/mol of atoms. Its density of states at the Fermi level is 7.1 states/eV/f.u.

a b c (Å): 6.129 6.129 7.356
angles (deg): 90.00 90.00 109.03
Element x y z (fractional)
Cu 0.000 0.000 0.000
Cu 0.000 0.500 0.758
Cu 0.500 0.000 0.242
Ir 0.000 0.000 0.500
Cl 0.221 0.244 0.727
Cl 0.228 0.772 0.000
Cl 0.236 0.764 0.500
Cl 0.244 0.221 0.273
Cl 0.756 0.779 0.273
Cl 0.764 0.236 0.500
Cl 0.772 0.228 0.000
Cl 0.779 0.756 0.727

=====

# 2
The following is a GGA-PBE calculation of an optimized crystal structure of MgBePt2, from the Alexandria database.

The calculated formation energy comes out at -200.1 meV per atom. The value obtained for the uncorrected energy is -4.55 eV per atom. The space group is I-42d, No. 122. Its density of states at the Fermi level is 1.7 states/eV/f.u.

a b c (Å): 8.607 8.607 8.607
angles (deg): 153.26 153.26 38.18
Element x y z (fractional)
Mg 0.000 0.000 0.000
Mg 0.750 0.250 0.500
Be 0.250 0.750 0.500
Be 0.500 0.500 0.000
Pt 0.155 0.625 0.030
Pt 0.375 0.405 0.530
Pt 0.595 0.125 0.970
Pt 0.875 0.845 0.470

=====

# 3
The following is a GGA-PBE calculation of an optimized crystal structure of CePOsN, from the Alexandria database.

The value obtained for the uncorrected energy is -8.75 eV per atom. The space group is P4/nmm, No. 129. The uncorrected formation energy comes out at -23.660 kcal/mol of atoms. Its density of states at the Fermi level is 1.3 states/eV/f.u.

a b c (Å): 4.030 4.030 8.181
angles (deg): 90.00 90.00 90.00
Element x y z (fractional)
Ce 0.250 0.250 0.134
Ce 0.750 0.750 0.866
P 0.250 0.250 0.647
P 0.750 0.750 0.353
Os 0.250 0.750 0.500
Os 0.750 0.250 0.500
N 0.250 0.750 0.000
N 0.750 0.250 0.000